Record 1
SrZn2Si2: relaxed, PBE-GGA.

The structure belongs to space group P4/nmm (No. 129, origin choice 2); the cell edges are 4.2807, 4.2807 and 10.5434 Å and the angles 90.00°, 90.00° and 90.00°. Symmetry generates all atoms from Sr at (0.2500, 0.2500, 0.2492), Zn at (0.2500, 0.2500, 0.6327), Zn at (0.2500, 0.7500, 0.0000), Si at (0.2500, 0.2500, 0.8663) and Si at (0.2500, 0.7500, 0.5000).

The calculated total energy is -32.91 eV per cell.


Record 2
ZnTe: relaxed, PBE-GGA.

The structure belongs to space group P2_1/m (No. 11); the cell edges are 6.3965, 5.7453 and 16.4552 Å and the angles 90.00°, 95.33° and 90.00°. Symmetry generates all atoms from Zn at (0.0527, 0.2500, 0.0994), Zn at (0.0946, 0.7500, 0.3947), Zn at (0.1318, 0.2500, 0.7646), Zn at (0.1714, 0.7500, 0.7774), Zn at (0.3025, 0.2500, 0.5938), Zn at (0.3701, 0.7500, 0.9200), Te at (0.0330, 0.2500, 0.3727), Te at (0.1073, 0.7500, 0.0679), Te at (0.3330, 0.7500, 0.5408), Te at (0.3816, 0.7500, 0.2781), Te at (0.3827, 0.2500, 0.2357) and Te at (0.3888, 0.2500, 0.9334).

The calculated total energy is -53.05 eV per cell.


Record 3
PaPbO3: relaxed, PBE-GGA.

The structure belongs to space group P4mm (No. 99); the cell edges are 4.1642, 4.1642 and 5.1307 Å and the angles 90.00°, 90.00° and 90.00°. Symmetry generates all atoms from Pa at (0.0000, 0.0000, 0.0000), Pb at (0.5000, 0.5000, 0.4542), O at (0.0000, 0.0000, 0.5907) and O at (0.0000, 0.5000, 0.1553).

The calculated total energy is -37.86 eV per cell.


Record 4
LuHfFeB: relaxed, PBE-GGA.

The structure belongs to space group F-43m (No. 216); the cell edges are 6.1468, 6.1468 and 6.1468 Å and the angles 90.00°, 90.00° and 90.00°. Symmetry generates all atoms from Lu at (0.0000, 0.0000, 0.0000), Hf at (0.2500, 0.2500, 0.7500), Fe at (0.0000, 0.0000, 0.5000) and B at (0.2500, 0.2500, 0.2500).

The calculated total energy is -110.58 eV per cell.


Record 5
Li2ZrTaGa2Pt2: relaxed, PBE-GGA.

The structure belongs to space group P-4m2 (No. 115); the cell edges are 4.4474, 4.4474 and 6.2904 Å and the angles 90.00°, 90.00° and 90.00°. Symmetry generates all atoms from Li at (0.0000, 0.5000, 0.2459), Zr at (0.5000, 0.5000, 0.5000), Ta at (0.0000, 0.0000, 0.0000), Ga at (0.0000, 0.0000, 0.5000), Ga at (0.5000, 0.5000, 0.0000) and Pt at (0.0000, 0.5000, 0.7644).

The calculated total energy is -47.02 eV per cell.


Record 6
Ta2GaGe2: relaxed, PBE-GGA.

The structure belongs to space group I4/mmm (No. 139); the cell edges are 4.2147, 4.2147 and 11.1186 Å and the angles 90.00°, 90.00° and 90.00°. Symmetry generates all atoms from Ta at (0.0000, 0.5000, 0.2500), Ga at (0.0000, 0.0000, 0.0000) and Ge at (0.0000, 0.0000, 0.3923).

The calculated total energy is -69.57 eV per cell.


Record 7
Zr3SiO: relaxed, PBE-GGA.

The structure belongs to space group Cmcm (No. 63); the cell edges are 3.5112, 11.0737 and 8.5463 Å and the angles 90.00°, 90.00° and 90.00°. Symmetry generates all atoms from Zr at (0.0000, 0.0587, 0.2500), Zr at (0.0000, 0.3619, 0.0554), Si at (0.0000, 0.2557, 0.7500) and O at (0.0000, 0.0000, 0.0000).

The calculated total energy is -174.15 eV per cell.


Record 8
BaCd2InAu: relaxed, PBE-GGA.

The structure belongs to space group I4mm (No. 107); the cell edges are 4.7338, 4.7338 and 12.5552 Å and the angles 90.00°, 90.00° and 90.00°. Symmetry generates all atoms from Ba at (0.0000, 0.0000, 0.0000), Cd at (0.0000, 0.5000, 0.2614), In at (0.0000, 0.0000, 0.6183) and Au at (0.0000, 0.0000, 0.3952).

The calculated total energy is -23.58 eV per cell.


Record 9
TaGaCuAu: relaxed, PBE-GGA.

The structure belongs to space group F-43m (No. 216); the cell edges are 6.3588, 6.3588 and 6.3588 Å and the angles 90.00°, 90.00° and 90.00°. Symmetry generates all atoms from Ta at (0.0000, 0.0000, 0.0000), Ga at (0.0000, 0.0000, 0.5000), Cu at (0.2500, 0.2500, 0.7500) and Au at (0.2500, 0.2500, 0.2500).

The calculated total energy is -84.65 eV per cell.


Record 10
SrCdHg2: relaxed, PBE-GGA.

The structure belongs to space group Pnma (No. 62); the cell edges are 8.7765, 7.9160 and 6.4368 Å and the angles 90.00°, 90.00° and 90.00°. Symmetry generates all atoms from Sr at (0.0347, 0.2500, 0.1426), Cd at (0.0967, 0.7500, 0.3637) and Hg at (0.1974, 0.0507, 0.5952).

The calculated total energy is -18.11 eV per cell.


Record 11
B2W5C: relaxed, PBE-GGA.

The structure belongs to space group Pnma (No. 62); the cell edges are 9.6958, 6.5605 and 6.0981 Å and the angles 90.00°, 90.00° and 90.00°. Symmetry generates all atoms from B at (0.1797, 0.9999, 0.0383), W at (0.0038, 0.2500, 0.0300), W at (0.0898, 0.0385, 0.6687), W at (0.1862, 0.7500, 0.3421), W at (0.2192, 0.2500, 0.3199) and C at (0.0041, 0.2500, 0.4155).

The calculated total energy is -350.61 eV per cell.


Record 12
TbHo2Ni2B2N3: relaxed, PBE-GGA.

The structure belongs to space group I4/mmm (No. 139); the cell edges are 3.4677, 3.4677 and 20.0536 Å and the angles 90.00°, 90.00° and 90.00°. Symmetry generates all atoms from Tb at (0.0000, 0.0000, 0.0000), Ho at (0.0000, 0.0000, 0.3766), Ni at (0.0000, 0.5000, 0.2500), B at (0.0000, 0.0000, 0.1898), N at (0.0000, 0.0000, 0.1171) and N at (0.0000, 0.0000, 0.5000).

The calculated total energy is -151.01 eV per cell.


Record 13
TbPrPt4: relaxed, PBE-GGA.

The structure belongs to space group F-43m (No. 216); the cell edges are 7.7506, 7.7506 and 7.7506 Å and the angles 90.00°, 90.00° and 90.00°. Symmetry generates all atoms from Tb at (0.0000, 0.0000, 0.0000), Pr at (0.2500, 0.2500, 0.2500) and Pt at (0.1254, 0.1254, 0.6254).

The value obtained for the formation energy is -1.062 eV/atom.


Record 14
CsNiBiS3: relaxed, PBE-GGA.

The structure belongs to space group Cmcm (No. 63); the cell edges are 4.0882, 14.9889 and 10.9557 Å and the angles 90.00°, 90.00° and 90.00°. Symmetry generates all atoms from Cs at (0.0000, 0.2382, 0.2500), Ni at (0.0000, 0.0369, 0.7500), Bi at (0.0000, 0.5000, 0.0000), S at (0.0000, 0.1173, 0.5720) and S at (0.0000, 0.4631, 0.7500).

The calculated total energy is -103.94 eV per cell.


Record 15
SmYZnTe3: relaxed, PBE-GGA.

The structure belongs to space group Cmcm (No. 63); the cell edges are 4.1913, 15.1961 and 10.5665 Å and the angles 90.00°, 90.00° and 90.00°. Symmetry generates all atoms from Sm at (0.0000, 0.2253, 0.2500), Y at (0.0000, 0.0000, 0.0000), Zn at (0.0000, 0.4773, 0.7500), Te at (0.0000, 0.1148, 0.7500) and Te at (0.0000, 0.3500, 0.5491).

The calculated total energy is -111.15 eV per cell.


Record 16
LuBi: relaxed, PBE-GGA.

The structure belongs to space group P6_3/mmc (No. 194); the cell edges are 4.4895, 4.4895 and 6.8029 Å and the angles 90.00°, 90.00° and 120.00°. Symmetry generates all atoms from Lu at (0.0000, 0.0000, 0.0000) and Bi at (0.3333, 0.6667, 0.2500).

The calculated total energy is -19.86 eV per cell.


Record 17
BiIrW: relaxed, PBE-GGA.

The structure belongs to space group F-43m (No. 216); the cell edges are 6.3647, 6.3647 and 6.3647 Å and the angles 90.00°, 90.00° and 90.00°. Symmetry generates all atoms from Bi at (0.0000, 0.0000, 0.0000), Ir at (0.0000, 0.0000, 0.5000) and W at (0.2500, 0.2500, 0.2500).

The calculated total energy is -93.88 eV per cell.


Record 18
ThNbFe: relaxed, PBE-GGA.

The structure belongs to space group F-43m (No. 216); the cell edges are 6.3575, 6.3575 and 6.3575 Å and the angles 90.00°, 90.00° and 90.00°. Symmetry generates all atoms from Th at (0.0000, 0.0000, 0.0000), Nb at (0.0000, 0.0000, 0.5000) and Fe at (0.2500, 0.2500, 0.7500).

The value obtained for the formation energy is 0.393 eV/atom.


Record 19
Gd3CuSe6: relaxed, PBE-GGA.

The structure belongs to space group Pbcm (No. 57); the cell edges are 7.1665, 7.8274 and 16.9383 Å and the angles 90.00°, 90.00° and 90.00°. Symmetry generates all atoms from Gd at (0.2384, 0.0600, 0.0895), Gd at (0.2611, 0.0574, 0.7500), Cu at (0.4049, 0.7500, 0.0000), Se at (0.0690, 0.7500, 0.0000), Se at (0.0723, 0.7473, 0.6747), Se at (0.3818, 0.0874, 0.5810) and Se at (0.3830, 0.0994, 0.2500).

The calculated total energy is -212.69 eV per cell.


Record 20
TlW3N5: relaxed, PBE-GGA.

The structure belongs to space group P6/mmm (No. 191); the cell edges are 5.2695, 5.2695 and 6.0434 Å and the angles 90.00°, 90.00° and 120.00°. Symmetry generates all atoms from Tl at (0.0000, 0.0000, 0.0000), W at (0.0000, 0.5000, 0.5000), N at (0.0000, 0.0000, 0.5000) and N at (0.3333, 0.6667, 0.2738).

The calculated total energy is -76.37 eV per cell.